No. 1
First-principles (PBE-GGA) data for PmHfB after structural relaxation, as listed in OQMD via LeMat-Bulk.

The structure in CIF format:
```
data_PmHfB
_chemical_formula_sum 'Pm4 Hf4 B4'
_symmetry_space_group_name_H-M 'F -4 3 m'
_symmetry_Int_Tables_number 216
_symmetry_space_group_name_Hall 'F -4 2 3'
_cell_length_a 6.213
_cell_length_b 6.213
_cell_length_c 6.213
_cell_angle_alpha 90.00
_cell_angle_beta 90.00
_cell_angle_gamma 90.00
loop_
_atom_site_label
_atom_site_type_symbol
_atom_site_fract_x
_atom_site_fract_y
_atom_site_fract_z
Pm1 Pm 0.000 0.000 0.000
Hf1 Hf 0.000 0.000 0.500
B1 B 0.250 0.250 0.750
```

Calculated values
- Calculated volume: 239.81 Å³/cell
- E: -0.507 Ry per atom
- Distance to the lowest polymorph of the same formula: 0.000 eV/atom
- Magnetic moment: 0.00 μB/f.u.

No. 2
First-principles (PBE-GGA) data for PmHfB4 after structural relaxation, as listed in OQMD via LeMat-Bulk.

The structure in CIF format:
```
data_PmHfB4
_chemical_formula_sum 'Pm2 Hf2 B8'
_symmetry_space_group_name_H-M 'I m m m'
_symmetry_Int_Tables_number 71
_symmetry_space_group_name_Hall '-I 2 2'
_cell_length_a 3.241
_cell_length_b 5.651
_cell_length_c 7.541
_cell_angle_alpha 90.00
_cell_angle_beta 90.00
_cell_angle_gamma 90.00
loop_
_atom_site_label
_atom_site_type_symbol
_atom_site_fract_x
_atom_site_fract_y
_atom_site_fract_z
Pm1 Pm 0.000 0.000 0.000
Hf1 Hf 0.000 0.000 0.500
B1 B 0.000 0.334 0.246
```

Calculated values
- Calculated volume: 138.10 Å³/cell
- E: -0.551 Ry per atom
- Distance to the lowest polymorph of the same formula: 0.127 eV/atom
- Magnetic moment: 0.00 μB/f.u.

No. 3
First-principles (PBE-GGA) data for PmHfB4 after structural relaxation, as listed in OQMD via LeMat-Bulk.

The structure in CIF format:
```
data_PmHfB4
_chemical_formula_sum 'Pm1 Hf1 B4'
_symmetry_space_group_name_H-M 'P 6/m m m'
_symmetry_Int_Tables_number 191
_symmetry_space_group_name_Hall '-P 6 2'
_cell_length_a 3.2161
_cell_length_b 3.2161
_cell_length_c 7.6189
_cell_angle_alpha 90.00
_cell_angle_beta 90.00
_cell_angle_gamma 120.00
loop_
_atom_site_label
_atom_site_type_symbol
_atom_site_fract_x
_atom_site_fract_y
_atom_site_fract_z
Pm1 Pm 0.0000 0.0000 0.0000
Hf1 Hf 0.0000 0.0000 0.5000
B1 B 0.3333 0.6667 0.2767
```

Calculated values
- Calculated volume: 68.25 Å³/cell
- E: -0.560 Ry per atom
- Distance to the lowest polymorph of the same formula: 0.000 eV/atom
- Magnetic moment: 0.00 μB/f.u.

No. 4
First-principles (PBE-GGA) data for PmHfB after structural relaxation, as listed in OQMD via LeMat-Bulk.

The structure in CIF format:
```
data_PmHfB
_chemical_formula_sum 'Pm4 Hf4 B4'
_symmetry_space_group_name_H-M 'F -4 3 m'
_symmetry_Int_Tables_number 216
_symmetry_space_group_name_Hall 'F -4 2 3'
_cell_length_a 6.472
_cell_length_b 6.472
_cell_length_c 6.472
_cell_angle_alpha 90.00
_cell_angle_beta 90.00
_cell_angle_gamma 90.00
loop_
_atom_site_label
_atom_site_type_symbol
_atom_site_fract_x
_atom_site_fract_y
_atom_site_fract_z
Pm1 Pm 0.000 0.000 0.000
Hf1 Hf 0.250 0.250 0.250
B1 B 0.250 0.250 0.750
```

Calculated values
- Calculated volume: 271.07 Å³/cell
- E: -0.399 Ry per atom
- Distance to the lowest polymorph of the same formula: 1.471 eV/atom
- Magnetic moment: 1.04 μB/f.u.

No. 5
First-principles (PBE-GGA) data for PrHfB4 after structural relaxation, as listed in OQMD via LeMat-Bulk.

The structure in CIF format:
```
data_PrHfB4
_chemical_formula_sum 'Pr1 Hf1 B4'
_symmetry_space_group_name_H-M 'P 6/m m m'
_symmetry_Int_Tables_number 191
_symmetry_space_group_name_Hall '-P 6 2'
_cell_length_a 3.2204
_cell_length_b 3.2204
_cell_length_c 7.7586
_cell_angle_alpha 90.00
_cell_angle_beta 90.00
_cell_angle_gamma 120.00
loop_
_atom_site_label
_atom_site_type_symbol
_atom_site_fract_x
_atom_site_fract_y
_atom_site_fract_z
Pr1 Pr 0.0000 0.0000 0.0000
Hf1 Hf 0.0000 0.0000 0.5000
B1 B 0.3333 0.6667 0.2815
```

Calculated values
- Calculated volume: 69.68 Å³/cell
- E: -0.556 Ry per atom
- Magnetic moment: 0.00 μB/f.u.

No. 6
First-principles (PBE-GGA) data for HfB4Pt after structural relaxation, as listed in OQMD via LeMat-Bulk.

The structure in CIF format:
```
data_HfB4Pt
_chemical_formula_sum 'Hf2 B8 Pt2'
_symmetry_space_group_name_H-M 'I m m m'
_symmetry_Int_Tables_number 71
_symmetry_space_group_name_Hall '-I 2 2'
_cell_length_a 3.116
_cell_length_b 5.120
_cell_length_c 7.509
_cell_angle_alpha 90.00
_cell_angle_beta 90.00
_cell_angle_gamma 90.00
loop_
_atom_site_label
_atom_site_type_symbol
_atom_site_fract_x
_atom_site_fract_y
_atom_site_fract_z
Hf1 Hf 0.000 0.000 0.000
B1 B 0.000 0.315 0.271
Pt1 Pt 0.000 0.000 0.500
```

Calculated values
- Calculated volume: 119.78 Å³/cell
- E: -0.546 Ry per atom
- Distance to the lowest polymorph of the same formula: 0.000 eV/atom
- Magnetic moment: 0.00 μB/f.u.

No. 7
First-principles (PBE-GGA) data for HfB4Pt after structural relaxation, as listed in OQMD via LeMat-Bulk.

The structure in CIF format:
```
data_HfB4Pt
_chemical_formula_sum 'Hf1 B4 Pt1'
_symmetry_space_group_name_H-M 'P 6/m m m'
_symmetry_Int_Tables_number 191
_symmetry_space_group_name_Hall '-P 6 2'
_cell_length_a 3.1735
_cell_length_b 3.1735
_cell_length_c 6.6612
_cell_angle_alpha 90.00
_cell_angle_beta 90.00
_cell_angle_gamma 120.00
loop_
_atom_site_label
_atom_site_type_symbol
_atom_site_fract_x
_atom_site_fract_y
_atom_site_fract_z
Hf1 Hf 0.0000 0.0000 0.0000
B1 B 0.3333 0.6667 0.2487
Pt1 Pt 0.0000 0.0000 0.5000
```

Calculated values
- Calculated volume: 58.10 Å³/cell
- E: -0.545 Ry per atom
- Distance to the lowest polymorph of the same formula: 0.016 eV/atom
- Magnetic moment: 0.00 μB/f.u.

No. 8
First-principles (PBE-GGA) data for RbHfB4 after structural relaxation, as listed in OQMD via LeMat-Bulk.

The structure in CIF format:
```
data_RbHfB4
_chemical_formula_sum 'Rb2 Hf2 B8'
_symmetry_space_group_name_H-M 'I m m m'
_symmetry_Int_Tables_number 71
_symmetry_space_group_name_Hall '-I 2 2'
_cell_length_a 3.078
_cell_length_b 7.348
_cell_length_c 7.429
_cell_angle_alpha 90.00
_cell_angle_beta 90.00
_cell_angle_gamma 90.00
loop_
_atom_site_label
_atom_site_type_symbol
_atom_site_fract_x
_atom_site_fract_y
_atom_site_fract_z
Rb1 Rb 0.000 0.000 0.000
Hf1 Hf 0.000 0.000 0.500
B1 B 0.000 0.276 0.234
```

Calculated values
- Calculated volume: 168.01 Å³/cell
- E: -0.433 Ry per atom
- Distance to the lowest polymorph of the same formula: 0.600 eV/atom
- Magnetic moment: 0.00 μB/f.u.

No. 9
First-principles (PBE-GGA) data for RbHfB4 after structural relaxation, as listed in OQMD via LeMat-Bulk.

The structure in CIF format:
```
data_RbHfB4
_chemical_formula_sum 'Rb1 Hf1 B4'
_symmetry_space_group_name_H-M 'P 6/m m m'
_symmetry_Int_Tables_number 191
_symmetry_space_group_name_Hall '-P 6 2'
_cell_length_a 3.1714
_cell_length_b 3.1714
_cell_length_c 8.6673
_cell_angle_alpha 90.00
_cell_angle_beta 90.00
_cell_angle_gamma 120.00
loop_
_atom_site_label
_atom_site_type_symbol
_atom_site_fract_x
_atom_site_fract_y
_atom_site_fract_z
Rb1 Rb 0.0000 0.0000 0.0000
Hf1 Hf 0.0000 0.0000 0.5000
B1 B 0.3333 0.6667 0.3062
```

Calculated values
- Calculated volume: 75.50 Å³/cell
- E: -0.477 Ry per atom
- Distance to the lowest polymorph of the same formula: 0.000 eV/atom
- Magnetic moment: 0.00 μB/f.u.

No. 10
First-principles (PBE-GGA) data for HfReB4 after structural relaxation, as listed in OQMD via LeMat-Bulk.

The structure in CIF format:
```
data_HfReB4
_chemical_formula_sum 'Hf2 Re2 B8'
_symmetry_space_group_name_H-M 'I m m m'
_symmetry_Int_Tables_number 71
_symmetry_space_group_name_Hall '-I 2 2'
_cell_length_a 3.103
_cell_length_b 5.307
_cell_length_c 6.727
_cell_angle_alpha 90.00
_cell_angle_beta 90.00
_cell_angle_gamma 90.00
loop_
_atom_site_label
_atom_site_type_symbol
_atom_site_fract_x
_atom_site_fract_y
_atom_site_fract_z
Hf1 Hf 0.000 0.000 0.000
Re1 Re 0.000 0.000 0.500
B1 B 0.000 0.332 0.252
```

Calculated values
- Calculated volume: 110.79 Å³/cell
- E: -0.632 Ry per atom
- Distance to the lowest polymorph of the same formula: 0.000 eV/atom
- Magnetic moment: 0.00 μB/f.u.

No. 11
First-principles (PBE-GGA) data for HfReB after structural relaxation, as listed in OQMD via LeMat-Bulk.

The structure in CIF format:
```
data_HfReB
_chemical_formula_sum 'Hf4 Re4 B4'
_symmetry_space_group_name_H-M 'F -4 3 m'
_symmetry_Int_Tables_number 216
_symmetry_space_group_name_Hall 'F -4 2 3'
_cell_length_a 5.973
_cell_length_b 5.973
_cell_length_c 5.973
_cell_angle_alpha 90.00
_cell_angle_beta 90.00
_cell_angle_gamma 90.00
loop_
_atom_site_label
_atom_site_type_symbol
_atom_site_fract_x
_atom_site_fract_y
_atom_site_fract_z
Hf1 Hf 0.000 0.000 0.000
Re1 Re 0.250 0.250 0.250
B1 B 0.250 0.250 0.750
```

Calculated values
- Calculated volume: 213.15 Å³/cell
- E: -0.603 Ry per atom
- Distance to the lowest polymorph of the same formula: 0.461 eV/atom
- Magnetic moment: 0.00 μB/f.u.

No. 12
First-principles (PBE-GGA) data for HfReB2 after structural relaxation, as listed in OQMD via LeMat-Bulk.

The structure in CIF format:
```
data_HfReB2
_chemical_formula_sum 'Hf4 Re4 B8'
_symmetry_space_group_name_H-M 'F -4 3 m'
_symmetry_Int_Tables_number 216
_symmetry_space_group_name_Hall 'F -4 2 3'
_cell_length_a 5.875
_cell_length_b 5.875
_cell_length_c 5.875
_cell_angle_alpha 90.00
_cell_angle_beta 90.00
_cell_angle_gamma 90.00
loop_
_atom_site_label
_atom_site_type_symbol
_atom_site_fract_x
_atom_site_fract_y
_atom_site_fract_z
Hf1 Hf 0.000 0.000 0.000
Re1 Re 0.250 0.250 0.750
B1 B 0.000 0.000 0.500
B2 B 0.250 0.250 0.250
```

Calculated values
- Calculated volume: 202.73 Å³/cell
- E: -0.572 Ry per atom
- Magnetic moment: 0.00 μB/f.u.

No. 13
First-principles (PBE-GGA) data for HfReB after structural relaxation, as listed in OQMD via LeMat-Bulk.

The structure in CIF format:
```
data_HfReB
_chemical_formula_sum 'Hf4 Re4 B4'
_symmetry_space_group_name_H-M 'F -4 3 m'
_symmetry_Int_Tables_number 216
_symmetry_space_group_name_Hall 'F -4 2 3'
_cell_length_a 5.869
_cell_length_b 5.869
_cell_length_c 5.869
_cell_angle_alpha 90.00
_cell_angle_beta 90.00
_cell_angle_gamma 90.00
loop_
_atom_site_label
_atom_site_type_symbol
_atom_site_fract_x
_atom_site_fract_y
_atom_site_fract_z
Hf1 Hf 0.000 0.000 0.000
Re1 Re 0.250 0.250 0.750
B1 B 0.000 0.000 0.500
```

Calculated values
- Calculated volume: 202.12 Å³/cell
- E: -0.637 Ry per atom
- Distance to the lowest polymorph of the same formula: 0.000 eV/atom
- Magnetic moment: 0.00 μB/f.u.